No. 1
The following is a PBE calculation of an optimized crystal structure of TcNiPt2, from Alexandria.

The space group is Cmmm (No. 65) and the conventional cell measures 5.426, 7.773 and 2.710 Å, with angles of 90.00, 90.00 and 90.00 degrees. The distinct sites, in fractional coordinates, are Tc at (0.000, 0.000, 0.000), Ni at (0.000, 0.500, 0.000) and Pt at (0.250, 0.250, 0.500).

As for the volume: 57.1 Å³/f.u. The total energy is -7.114 eV per atom. The calculation puts the energy above the most stable polymorph in this dataset at 96 meV/atom. Its formation energy from the elements is -0.057 eV/atom.


No. 2
The following is a PBE calculation of an optimized crystal structure of TcNiPt4, from Alexandria.

The space group is P2_1/m (No. 11) and the conventional cell measures 4.578, 8.585 and 5.368 Å, with angles of 90.00, 90.02 and 90.00 degrees. The distinct sites, in fractional coordinates, are Tc at (0.199, 0.250, 0.008), Ni at (0.326, 0.750, 0.740), Pt at (0.008, 0.504, 0.755), Pt at (0.198, 0.250, 0.497) and Pt at (0.327, 0.750, 0.229).

As for the volume: 105.5 Å³/f.u. The total energy is -6.476 eV per atom. The calculation puts the energy above the most stable polymorph in this dataset at 387 meV/atom. Its formation energy from the elements is 0.242 eV/atom.


No. 3
The following is a PBE calculation of an optimized crystal structure of TcNi4Pt2, from Alexandria.

The space group is P4_2/mnm (No. 136) and the conventional cell measures 6.667, 6.667 and 4.296 Å, with angles of 90.00, 90.00 and 90.00 degrees. The distinct sites, in fractional coordinates, are Tc at (0.000, 0.000, 0.000), Ni at (0.103, 0.364, 0.000) and Pt at (0.191, 0.191, 0.500).

As for the volume: 95.5 Å³/f.u. The total energy is -6.310 eV per atom. Its formation energy from the elements is 0.200 eV/atom.


> What is the formation energy from the elements in the third record?

0.200 eV/atom